Y3ErTm: optimized geometry, PBE.

## Properties
V (Å³/f.u.): 158.3
Energy relative to the lowest polymorph listed for this composition (meV per atom): 53

Unit cell a=5.419 b=7.027 c=8.747 alpha=90.02 beta=71.91 gamma=90.00
Fractional coordinates of all 10 atoms:
Y 0.622 0.705 0.474
Y 0.813 0.456 0.093
Y 0.014 0.455 0.691
Y 0.012 0.955 0.694
Y 0.404 0.205 0.911
Y 0.213 0.956 0.293
Er 0.813 0.955 0.092
Er 0.212 0.455 0.294
Tm 0.402 0.706 0.915
Tm 0.624 0.206 0.471

=====

Pr4IrPt2: optimized geometry, PBE.

## Properties
V (Å³/f.u.): 199.6
Energy relative to the lowest polymorph listed for this composition (meV per atom): 34

Unit cell a=8.034 b=8.035 c=8.037 alpha=110.17 beta=110.08 gamma=108.19
Fractional coordinates of all 14 atoms:
Pr 0.932 0.235 0.303
Pr 0.318 0.515 0.197
Pr 0.932 0.628 0.697
Pr 0.765 0.068 0.697
Pr 0.372 0.069 0.303
Pr 0.318 0.122 0.803
Pr 0.485 0.681 0.803
Pr 0.878 0.682 0.197
Ir 0.249 0.749 0.500
Ir 0.001 0.001 0.000
Pt 0.625 0.375 0.750
Pt 0.625 0.875 0.250
Pt 0.625 0.375 0.250
Pt 0.125 0.375 0.750